[1]
# CeSi2Ir2, single point on PBEsol structure, DFT meta-GGA SCAN
# E_form (uncorrected) ... -1.22 eV per atom
# VASP energy ... -425.7 eV/cell
data_CeSi2Ir2
_chemical_formula_sum 'Ce2 Si4 Ir4'
_space_group_name_H-M_alt 'P 1'
_space_group_IT_number 1
_space_group_name_Hall 'P 1'
_cell_length_a 4.117
_cell_length_b 4.117
_cell_length_c 9.841
_cell_angle_alpha 90.00
_cell_angle_beta 90.00
_cell_angle_gamma 90.00
loop_
_atom_site_label
_atom_site_type_symbol
_atom_site_fract_x
_atom_site_fract_y
_atom_site_fract_z
Ce1 Ce 0.000 0.500 0.756
Ce2 Ce 0.500 0.000 0.244
Si1 Si 0.000 0.500 0.370
Si2 Si 0.000 0.000 0.000
Si3 Si 0.500 0.000 0.630
Si4 Si 0.500 0.500 0.000
Ir1 Ir 0.500 0.000 0.872
Ir2 Ir 0.000 0.000 0.500
Ir3 Ir 0.500 0.500 0.500
Ir4 Ir 0.000 0.500 0.128

---

[2]
# LiLaTaAg2, single point on PBEsol structure, DFT meta-GGA SCAN
# Calculated formation energy ... 42.02 kcal/mol of atoms
# VASP energy ... -165.7 eV/cell
data_LiLaTaAg2
_chemical_formula_sum 'Li1 La1 Ta1 Ag2'
_space_group_name_H-M_alt 'P 1'
_space_group_IT_number 1
_space_group_name_Hall 'P 1'
_cell_length_a 4.591
_cell_length_b 5.090
_cell_length_c 5.090
_cell_angle_alpha 90.00
_cell_angle_beta 90.00
_cell_angle_gamma 90.00
loop_
_atom_site_label
_atom_site_type_symbol
_atom_site_fract_x
_atom_site_fract_y
_atom_site_fract_z
La1 La 0.000 0.000 0.000
Li1 Li 0.500 0.000 0.000
Ag1 Ag 0.000 0.000 0.500
Ag2 Ag 0.000 0.500 0.000
Ta1 Ta 0.500 0.500 0.500

---

[3]
# Sr4CaFe, single point on PBEsol structure, DFT meta-GGA SCAN
# Calculated formation energy ... 18.43 kcal/mol of atoms
# VASP energy ... -112.1 eV/cell
data_Sr4CaFe
_chemical_formula_sum 'Sr4 Ca1 Fe1'
_space_group_name_H-M_alt 'P 1'
_space_group_IT_number 1
_space_group_name_Hall 'P 1'
_cell_length_a 7.218
_cell_length_b 7.218
_cell_length_c 7.218
_cell_angle_alpha 60.00
_cell_angle_beta 60.00
_cell_angle_gamma 60.00
loop_
_atom_site_label
_atom_site_type_symbol
_atom_site_fract_x
_atom_site_fract_y
_atom_site_fract_z
Ca1 Ca 0.750 0.750 0.750
Fe1 Fe 0.000 0.000 0.000
Sr1 Sr 0.374 0.374 0.374
Sr2 Sr 0.374 0.374 0.877
Sr3 Sr 0.877 0.374 0.374
Sr4 Sr 0.374 0.877 0.374

---

[4]
# AlRe3Mo, single point on PBEsol structure, DFT meta-GGA SCAN
# Calculated formation energy ... 39.06 kcal/mol of atoms
# VASP energy ... -247.5 eV/cell
data_AlRe3Mo
_chemical_formula_sum 'Al1 Re3 Mo1'
_space_group_name_H-M_alt 'P 1'
_space_group_IT_number 1
_space_group_name_Hall 'P 1'
_cell_length_a 4.347
_cell_length_b 4.347
_cell_length_c 4.347
_cell_angle_alpha 90.00
_cell_angle_beta 90.00
_cell_angle_gamma 90.00
loop_
_atom_site_label
_atom_site_type_symbol
_atom_site_fract_x
_atom_site_fract_y
_atom_site_fract_z
Re1 Re 0.000 0.500 0.000
Re2 Re 0.000 0.000 0.500
Re3 Re 0.500 0.000 0.000
Mo1 Mo 0.500 0.500 0.500
Al1 Al 0.000 0.000 0.000

---

[5]
# NaTaCu2Pt, single point on PBEsol structure, DFT meta-GGA SCAN
# Calculated formation energy ... 20.14 kcal/mol of atoms
# VASP energy ... -167.0 eV/cell
data_NaTaCu2Pt
_chemical_formula_sum 'Na1 Ta1 Cu2 Pt1'
_space_group_name_H-M_alt 'P 1'
_space_group_IT_number 1
_space_group_name_Hall 'P 1'
_cell_length_a 4.811
_cell_length_b 4.811
_cell_length_c 4.847
_cell_angle_alpha 90.00
_cell_angle_beta 90.00
_cell_angle_gamma 90.00
loop_
_atom_site_label
_atom_site_type_symbol
_atom_site_fract_x
_atom_site_fract_y
_atom_site_fract_z
Na1 Na 0.500 0.500 0.500
Cu1 Cu 0.000 0.500 0.000
Cu2 Cu 0.500 0.000 0.000
Pt1 Pt 0.000 0.000 0.500
Ta1 Ta 0.000 0.000 0.000

---

[6]
# Tl2SbCl, single point on PBEsol structure, DFT meta-GGA SCAN
# E_form (uncorrected) ... -0.37 eV per atom
# VASP energy ... -191.4 eV/cell
data_Tl2SbCl
_chemical_formula_sum 'Tl2 Sb1 Cl1'
_space_group_name_H-M_alt 'P 1'
_space_group_IT_number 1
_space_group_name_Hall 'P 1'
_cell_length_a 3.435
_cell_length_b 3.435
_cell_length_c 9.174
_cell_angle_alpha 90.00
_cell_angle_beta 90.00
_cell_angle_gamma 90.00
loop_
_atom_site_label
_atom_site_type_symbol
_atom_site_fract_x
_atom_site_fract_y
_atom_site_fract_z
Sb1 Sb 0.500 0.500 0.000
Tl1 Tl 0.999 0.000 0.277
Tl2 Tl 0.001 0.000 0.723
Cl1 Cl 0.500 0.500 0.500